[1]
YTcHg2: PBEsol geometry, meta-GGA SCAN.

```
data_YTcHg2
_space_group_name_H-M_alt 'P 1'
_space_group_IT_number 1
_cell_length_a 3.0636
_cell_length_b 3.0636
_cell_length_c 9.9684
_cell_angle_alpha 81.16
_cell_angle_beta 81.16
_cell_angle_gamma 60.00
loop_
_space_group_symop_operation_xyz
'x,y,z'
loop_
_atom_site_label
_atom_site_fract_x
_atom_site_fract_y
_atom_site_fract_z
_atom_site_occupancy
Y1 0.0000 0.0000 0.0000 1
Hg1 0.2432 0.2432 0.2704 1
Hg2 0.7568 0.7568 0.7296 1
Tc1 0.5000 0.5000 0.5000 1
```

Calculated values
The space group is R-3m. The calculation puts the formation energy at 0.387 eV/atom. The value obtained for the distance to the lowest polymorph of the same formula is 354 meV per atom.

[2]
InMoNF2: PBEsol geometry, meta-GGA SCAN.

```
data_InMoNF2
_space_group_name_H-M_alt 'P 1'
_space_group_IT_number 1
_cell_length_a 3.8808
_cell_length_b 4.2488
_cell_length_c 4.2488
_cell_angle_alpha 90.00
_cell_angle_beta 90.00
_cell_angle_gamma 90.00
loop_
_space_group_symop_operation_xyz
'x,y,z'
loop_
_atom_site_label
_atom_site_fract_x
_atom_site_fract_y
_atom_site_fract_z
_atom_site_occupancy
Mo1 0.0000 0.0000 0.0000 1
N1 0.5000 0.0000 0.0000 1
In1 0.5000 0.5000 0.5000 1
F1 0.0000 0.5000 0.0000 1
F2 0.0000 0.0000 0.5000 1
```

Calculated values
The space group is P4/mmm. The value obtained for the distance to the lowest polymorph of the same formula is 0 meV per atom.

[3]
V6CoRh: PBEsol geometry, meta-GGA SCAN.

```
data_V6CoRh
_space_group_name_H-M_alt 'P 1'
_space_group_IT_number 1
_cell_length_a 4.6550
_cell_length_b 4.6550
_cell_length_c 4.6550
_cell_angle_alpha 90.00
_cell_angle_beta 90.00
_cell_angle_gamma 90.00
loop_
_space_group_symop_operation_xyz
'x,y,z'
loop_
_atom_site_label
_atom_site_fract_x
_atom_site_fract_y
_atom_site_fract_z
_atom_site_occupancy
V1 0.0000 0.5000 0.2542 1
V2 0.5000 0.7458 0.0000 1
V3 0.7458 0.0000 0.5000 1
V4 0.5000 0.2542 0.0000 1
V5 0.0000 0.5000 0.7458 1
V6 0.2542 0.0000 0.5000 1
Rh1 0.0000 0.0000 0.0000 1
Co1 0.5000 0.5000 0.5000 1
```

Calculated values
The space group is Pm-3. The calculation puts the formation energy at -0.303 eV/atom.

[4]
SrAlB3: PBEsol geometry, meta-GGA SCAN.

```
data_SrAlB3
_space_group_name_H-M_alt 'P 1'
_space_group_IT_number 1
_cell_length_a 4.6812
_cell_length_b 4.6812
_cell_length_c 4.6812
_cell_angle_alpha 90.00
_cell_angle_beta 90.00
_cell_angle_gamma 90.00
loop_
_space_group_symop_operation_xyz
'x,y,z'
loop_
_atom_site_label
_atom_site_fract_x
_atom_site_fract_y
_atom_site_fract_z
_atom_site_occupancy
B1 0.0000 0.5000 0.0000 1
B2 0.5000 0.0000 0.0000 1
B3 0.0000 0.0000 0.5000 1
Al1 0.5000 0.5000 0.5000 1
Sr1 0.0000 0.0000 0.0000 1
```

Calculated values
The space group is Pm-3m. The calculation puts the formation energy at 2.963 eV/atom.

[5]
Zn2SbW: PBEsol geometry, meta-GGA SCAN.

```
data_Zn2SbW
_space_group_name_H-M_alt 'P 1'
_space_group_IT_number 1
_cell_length_a 2.9257
_cell_length_b 4.9738
_cell_length_c 4.9738
_cell_angle_alpha 113.19
_cell_angle_beta 90.00
_cell_angle_gamma 90.00
loop_
_space_group_symop_operation_xyz
'x,y,z'
loop_
_atom_site_label
_atom_site_fract_x
_atom_site_fract_y
_atom_site_fract_z
_atom_site_occupancy
Zn1 0.0000 0.0000 0.5000 1
Zn2 0.0000 0.5000 0.0000 1
W1 0.5000 0.5000 0.5000 1
Sb1 0.5000 0.0000 0.0000 1
```

Calculated values
The space group is Cmmm. The value obtained for the total energy is -32.935 eV per atom.

[6]
AlSi2Ru: PBEsol geometry, meta-GGA SCAN.

```
data_AlSi2Ru
_space_group_name_H-M_alt 'P 1'
_space_group_IT_number 1
_cell_length_a 3.0394
_cell_length_b 4.1705
_cell_length_c 4.6966
_cell_angle_alpha 90.00
_cell_angle_beta 108.88
_cell_angle_gamma 90.00
loop_
_space_group_symop_operation_xyz
'x,y,z'
loop_
_atom_site_label
_atom_site_fract_x
_atom_site_fract_y
_atom_site_fract_z
_atom_site_occupancy
Al1 0.5385 0.0000 0.0769 1
Si1 0.2260 0.5000 0.4520 1
Si2 0.8060 0.0000 0.6120 1
Ru1 0.9461 0.5000 0.8922 1
```

Calculated values
The space group is Amm2. The value obtained for the total energy is -15.944 eV per atom.

Q: Which formula does entry 6 have?
A: AlSi2Ru

Q: Which formula does entry 5 have?
A: Zn2SbW